DFT (SCAN) results for a PBEsol-optimized structure of ScP2Br.

```
ScP2Br
1.0
-1.409 -2.900 -0.613
3.900 -2.269 1.772
-3.312 0.886 3.426
P Br Sc
2 1 1
Direct
0.000 0.000 0.500
0.000 0.500 0.000
0.500 0.500 0.500
0.500 0.000 0.000
```

calculated total energy: -13.60 eV/atom
E_form (uncorrected): 0.025 eV/atom
magnetization: 0.0000 μB/atom